A plane-wave DFT calculation with GGA-PBE was carried out for crystalline HfZr2Sb at its relaxed geometry.

a b c (Å): 8.2228 8.2228 6.4984
angles (deg): 50.75 50.75 90.00
Last column: nearest neighbours and their distance in Å.
Element x y z (fractional)
Zr 0.8750 0.8498 0.7500  2 Sb 2.86, 2 Zr 2.93, 2 Hf 3.14
Zr 0.5998 0.1250 0.2500  2 Sb 2.86, 2 Zr 2.93, 2 Hf 3.14
Zr 0.1502 0.6250 0.2500  2 Sb 2.86, 2 Zr 2.93, 2 Hf 3.14
Zr 0.3750 0.4002 0.7500  2 Sb 2.86, 2 Zr 2.93, 2 Hf 3.14
Sb 0.5000 0.5000 0.0000  4 Zr 2.86, 2 Hf 2.90
Sb 0.2500 0.7500 0.5000  4 Zr 2.86, 2 Hf 2.90
Hf 0.7500 0.2500 0.5000  2 Sb 2.90, 4 Zr 3.14
Hf 0.0000 0.0000 0.0000  2 Sb 2.90, 4 Zr 3.14

Summary:
The value obtained for the uncorrected energy is -7.640 eV per atom. The uncorrected formation energy comes out at 0.15 eV/atom. The space group is I-42d, No. 122. The density is 8.170 g cm⁻³. For the magnetization, the calculation gives 0.00 μB/atom.

=====

A plane-wave DFT calculation with GGA-PBE was carried out for crystalline TeSe2 at its relaxed geometry.

a b c (Å): 5.7200 5.7200 8.0477
angles (deg): 78.92 78.92 43.39
Last column: nearest neighbours and their distance in Å.
Element x y z (fractional)
Te 0.2978 0.2978 0.8382  2 Se 2.69-2.72
Te 0.7022 0.7022 0.1618  2 Se 2.69-2.72
Se 0.6133 0.6133 0.4994  1 Se 2.41, 1 Te 2.69
Se 0.3867 0.3867 0.5006  1 Se 2.41, 1 Te 2.69
Se 0.0408 0.0408 0.8460  1 Se 2.45, 1 Te 2.72
Se 0.9592 0.9592 0.1540  1 Se 2.45, 1 Te 2.72

Summary:
The value obtained for the uncorrected energy is -3.229 eV per atom. The calculation puts the energy above the most stable polymorph in this dataset at 0.156 eV/atom. The uncorrected formation energy comes out at 0.14 eV/atom. The space group is C2/m, No. 12. The density is 5.358 g cm⁻³. For the magnetization, the calculation gives 0.00 μB/atom.